DFT (GGA+U) results for a relaxed SrCa3Mn2O8 crystal.

Output
Raw total energy, Ha/atom: -0.248
Total magnetization, μB/cell: 6.12

Lattice parameters (Å, degrees): 3.793 3.793 12.054 90.00 90.00 90.00
Fractional coordinates of all 14 atoms:
Sr1 0.000 0.000 0.000
Ca1 0.000 0.000 0.708
Ca2 0.500 0.500 0.215
Ca3 0.500 0.500 0.501
Mn1 0.000 0.000 0.359
Mn2 0.500 0.500 0.849
O1 0.000 0.000 0.199
O2 0.000 0.000 0.520
O3 0.000 0.500 0.358
O4 0.000 0.500 0.846
O5 0.500 0.000 0.358
O6 0.500 0.000 0.846
O7 0.500 0.500 0.016
O8 0.500 0.500 0.689